No. 1
MgMn2Os | PBE-GGA | relaxed

Computed properties:
* crystal system: tetragonal
* energy of formation from the pure elements: 0.9 eV/f.u.

a = 2.804 Å, b = 2.804 Å, c = 7.312 Å
α = 90.00°, β = 90.00°, γ = 90.00°
Each line ends with the local moment (μB).
Atoms (fractional coordinates):
Mg  0.500  0.500  0.750  -0.04
Mn  0.000  0.000  0.026  2.28
Mn  0.000  0.000  0.474  2.28
Os  0.500  0.500  0.250  -0.40

=====

No. 2
MgMn2Os2 | PBE-GGA | relaxed

Computed properties:
* crystal system: tetragonal
* energy relative to the lowest polymorph listed for this composition: 0.000 eV per formula unit
* energy of formation from the pure elements: 0.8 eV/f.u.

a = 7.249 Å, b = 7.249 Å, c = 2.674 Å
α = 90.00°, β = 90.00°, γ = 90.00°
Atoms (fractional coordinates):
Mg  0.000  0.000  0.000
Mg  0.500  0.500  0.000
Mn  0.380  0.880  0.000
Mn  0.880  0.620  0.000
Mn  0.620  0.120  0.000
Mn  0.120  0.380  0.000
Os  0.168  0.668  0.500
Os  0.668  0.832  0.500
Os  0.832  0.332  0.500
Os  0.332  0.168  0.500

=====

No. 3
Mg2MnPOs | PBE-GGA | relaxed

Computed properties:
* crystal system: tetragonal
* energy of formation from the pure elements: 2.4 eV/f.u.

a = 4.780 Å, b = 4.339 Å, c = 4.780 Å
α = 90.00°, β = 90.00°, γ = 90.00°
Each line ends with the local moment (μB).
Atoms (fractional coordinates):
P  0.000  0.000  0.000  0.02
Mg  0.000  0.000  0.500  -0.02
Mg  0.500  0.000  0.000  -0.01
Mn  0.500  0.500  0.500  4.12
Os  0.000  0.500  0.000  -0.06

=====

No. 4
MgMnSiOs2 | PBE-GGA | relaxed

Computed properties:
* crystal system: tetragonal
* ΔE_f (raw): 0.96 eV per atom

a = 4.501 Å, b = 4.234 Å, c = 4.501 Å
α = 90.00°, β = 90.00°, γ = 90.00°
Atoms (fractional coordinates):
Si  0.000  0.500  0.000
Mn  0.000  0.000  0.000
Os  0.000  0.000  0.500
Os  0.500  0.000  0.000
Mg  0.500  0.500  0.500

=====

No. 5
MgTaMnOs | PBE-GGA | relaxed

Computed properties:
* crystal system: cubic
* energy of formation from the pure elements: -0.2 eV/f.u.

a = 4.421 Å, b = 4.421 Å, c = 4.421 Å
α = 60.00°, β = 60.00°, γ = 60.00°
Each line ends with the local moment (μB).
Atoms (fractional coordinates):
Mg  0.500  0.500  0.500  -0.01
Mn  0.750  0.750  0.750  2.21
Os  0.250  0.250  0.250  0.16
Ta  0.000  0.000  0.000  -0.32

=====

No. 6
MgMnTcOs | PBE-GGA | relaxed

Computed properties:
* crystal system: cubic
* energy of formation from the pure elements: 0.8 eV/f.u.

a = 4.372 Å, b = 4.372 Å, c = 4.372 Å
α = 60.00°, β = 60.00°, γ = 60.00°
Each line ends with the local moment (μB).
Atoms (fractional coordinates):
Mg  0.000  0.000  0.000  -0.01
Mn  0.250  0.250  0.250  3.46
Os  0.500  0.500  0.500  0.33
Tc  0.750  0.750  0.750  -0.09